(1)
A plane-wave DFT calculation with PBE-GGA was carried out for a relaxed structure of SmBePt2.

Final energy = -6.07 eV per atom
Formation energy = -362 kJ/mol of formula units
Fermi-level density of states = 0.499 states/eV per atom
M_tot = 0.000 μB per atom
Energy above the most stable polymorph in this dataset = 0.0000 eV/atom

Cell lengths 3.991, 3.991, 9.106 Å; angles 90.00, 90.00, 90.00 degrees
Space group P4/nmm (No. 129, origin choice 2)
Inequivalent atoms, fractional coordinates:
Sm (0.250, 0.250, 0.216)
Be (0.250, 0.250, 0.630)
Pt (0.250, 0.250, 0.882)
Pt (0.250, 0.750, 0.500)

---

(2)
A plane-wave DFT calculation with PBE-GGA was carried out for a relaxed structure of MgNpSnOs.

Final energy = -7.25 eV per atom
Formation energy = 74 kJ/mol of formula units
Fermi-level density of states = 2.650 states/eV per atom
M_tot = 0.885 μB per atom

Cell lengths 6.801, 6.801, 6.801 Å; angles 90.00, 90.00, 90.00 degrees
Space group F-43m (No. 216)
Inequivalent atoms, fractional coordinates:
Mg (0.000, 0.000, 0.000)
Np (0.250, 0.250, 0.250)
Sn (0.250, 0.250, 0.750)
Os (0.000, 0.000, 0.500)

---

(3)
A plane-wave DFT calculation with PBE-GGA was carried out for a relaxed structure of LaTh2Tc.

Final energy = -7.53 eV per atom
Formation energy = 0 kJ/mol of formula units
Fermi-level density of states = 1.455 states/eV per atom
M_tot = 0.000 μB per atom
Energy above the most stable polymorph in this dataset = 0.1036 eV/atom

Cell lengths 3.568, 3.568, 8.664 Å; angles 90.00, 90.00, 90.00 degrees
Space group P4/mmm (No. 123)
Inequivalent atoms, fractional coordinates:
La (0.000, 0.000, 0.000)
Th (0.500, 0.500, 0.297)
Tc (0.000, 0.000, 0.500)

---

(4)
A plane-wave DFT calculation with PBE-GGA was carried out for a relaxed structure of BaSc2Te.

Final energy = -4.72 eV per atom
Fermi-level density of states = 1.248 states/eV per atom
Uncorrected formation energy = -0.289 eV per atom
M_tot = 0.399 μB per atom

Cell lengths 3.779, 3.779, 8.740 Å; angles 90.00, 90.00, 90.00 degrees
Space group P4/mmm (No. 123)
Inequivalent atoms, fractional coordinates:
Ba (0.000, 0.000, 0.000)
Sc (0.500, 0.500, 0.323)
Te (0.000, 0.000, 0.500)

---

(5)
A plane-wave DFT calculation with PBE-GGA was carried out for a relaxed structure of EuNiN.

Final energy = -8.40 eV per atom
Fermi-level density of states = 1.447 states/eV per atom
Uncorrected formation energy = -0.269 eV per atom
M_tot = 2.232 μB per atom

Cell lengths 3.5214, 3.5214, 3.9176 Å; angles 90.00, 90.00, 120.00 degrees
Space group P3m1 (No. 156)
Inequivalent atoms, fractional coordinates:
Eu (0.0000, 0.0000, 0.0000)
Ni (0.6667, 0.3333, 0.5003)
N (0.3333, 0.6667, 0.5019)

---

(6)
A plane-wave DFT calculation with PBE-GGA was carried out for a relaxed structure of LiMnRh.

Final energy = -5.80 eV per atom
Formation energy = 101 kJ/mol of formula units
Fermi-level density of states = 1.130 states/eV per atom
M_tot = 1.446 μB per atom
Energy above the most stable polymorph in this dataset = 0.3530 eV/atom

Cell lengths 5.864, 5.864, 5.864 Å; angles 90.00, 90.00, 90.00 degrees
Space group F-43m (No. 216)
Inequivalent atoms, fractional coordinates:
Li (0.000, 0.000, 0.000)
Mn (0.000, 0.000, 0.500)
Rh (0.250, 0.250, 0.250)

---

(7)
A plane-wave DFT calculation with PBE-GGA was carried out for a relaxed structure of GeTe2P.

Final energy = -3.59 eV per atom
Fermi-level density of states = 0.582 states/eV per atom
Uncorrected formation energy = 0.492 eV per atom
M_tot = 0.000 μB per atom
Energy above the most stable polymorph in this dataset = 0.1239 eV/atom

Cell lengths 7.127, 7.127, 7.127 Å; angles 90.00, 90.00, 90.00 degrees
Space group Fm-3m (No. 225)
Inequivalent atoms, fractional coordinates:
Ge (0.000, 0.000, 0.000)
Te (0.250, 0.250, 0.250)
P (0.000, 0.000, 0.500)

---

(8)
A plane-wave DFT calculation with PBE-GGA was carried out for a relaxed structure of ZnTcP2.

Final energy = -5.41 eV per atom
Formation energy = 78 kJ/mol of formula units
Fermi-level density of states = 0.910 states/eV per atom
M_tot = 0.000 μB per atom

Cell lengths 5.315, 6.741, 3.095 Å; angles 90.00, 90.64, 90.00 degrees
Space group C2/m (No. 12)
Inequivalent atoms, fractional coordinates:
Zn (0.000, 0.000, 0.000)
Tc (0.000, 0.500, 0.000)
P (0.250, 0.250, 0.500)

---

(9)
A plane-wave DFT calculation with PBE-GGA was carried out for a relaxed structure of ReSi2Ni.

Final energy = -7.15 eV per atom
Fermi-level density of states = 0.429 states/eV per atom
Uncorrected formation energy = 0.119 eV per atom
M_tot = 0.000 μB per atom

Cell lengths 2.665, 2.665, 7.484 Å; angles 90.00, 90.00, 90.00 degrees
Space group P4mm (No. 99)
Inequivalent atoms, fractional coordinates:
Re (0.000, 0.000, 0.000)
Si (0.000, 0.000, 0.544)
Si (0.500, 0.500, 0.252)
Ni (0.500, 0.500, 0.749)

---

(10)
A plane-wave DFT calculation with PBE-GGA was carried out for a relaxed structure of PuHgB2O8.

Final energy = -7.34 eV per atom
Fermi-level density of states = 0.545 states/eV per atom
Uncorrected formation energy = -1.703 eV per atom
M_tot = 0.160 μB per atom

Cell lengths 8.520, 5.292, 7.796 Å; angles 90.00, 102.09, 90.00 degrees
Space group C2/m (No. 12)
Inequivalent atoms, fractional coordinates:
Pu (0.000, 0.000, 0.000)
Hg (0.000, 0.000, 0.500)
B (0.188, 0.500, 0.213)
O (0.086, 0.271, 0.181)
O (0.202, 0.000, 0.912)
O (0.237, 0.000, 0.603)

---

(11)
A plane-wave DFT calculation with PBE-GGA was carried out for a relaxed structure of LiCaCdHg.

Final energy = -1.62 eV per atom
Formation energy = -128 kJ/mol of formula units
Fermi-level density of states = 0.639 states/eV per atom
M_tot = 0.000 μB per atom

Cell lengths 7.271, 7.271, 7.271 Å; angles 90.00, 90.00, 90.00 degrees
Space group F-43m (No. 216)
Inequivalent atoms, fractional coordinates:
Li (0.000, 0.000, 0.000)
Ca (0.000, 0.000, 0.500)
Cd (0.250, 0.250, 0.250)
Hg (0.250, 0.250, 0.750)

---

(12)
A plane-wave DFT calculation with PBE-GGA was carried out for a relaxed structure of NdHo4Rh5.

Final energy = -6.82 eV per atom
Formation energy = -811 kJ/mol of formula units
Fermi-level density of states = 0.603 states/eV per atom
M_tot = 0.000 μB per atom

Cell lengths 3.399, 3.399, 17.564 Å; angles 90.00, 90.00, 90.00 degrees
Space group P4/mmm (No. 123)
Inequivalent atoms, fractional coordinates:
Nd (0.000, 0.000, 0.000)
Ho (0.000, 0.000, 0.205)
Ho (0.000, 0.000, 0.402)
Rh (0.500, 0.500, 0.109)
Rh (0.500, 0.500, 0.304)
Rh (0.500, 0.500, 0.500)

---

(13)
A plane-wave DFT calculation with PBE-GGA was carried out for a relaxed structure of CaDy2Ni.

Final energy = -4.37 eV per atom
Formation energy = -48 kJ/mol of formula units
Fermi-level density of states = 0.968 states/eV per atom
M_tot = 0.000 μB per atom
Energy above the most stable polymorph in this dataset = 0.0223 eV/atom

Cell lengths 3.9507, 3.9507, 27.5993 Å; angles 90.00, 90.00, 120.00 degrees
Space group R3m (No. 160, hexagonal axes)
Inequivalent atoms, fractional coordinates:
Ca (0.0000, 0.0000, 0.0000)
Dy (0.0000, 0.0000, 0.5507)
Dy (0.0000, 0.0000, 0.7801)
Ni (0.0000, 0.0000, 0.1652)

---

(14)
A plane-wave DFT calculation with PBE-GGA was carried out for a relaxed structure of BeReSiIr.

Final energy = -7.95 eV per atom
Fermi-level density of states = 0.501 states/eV per atom
Uncorrected formation energy = -0.338 eV per atom
M_tot = 0.000 μB per atom

Cell lengths 5.809, 5.809, 5.809 Å; angles 90.00, 90.00, 90.00 degrees
Space group F-43m (No. 216)
Inequivalent atoms, fractional coordinates:
Be (0.000, 0.000, 0.000)
Re (0.250, 0.250, 0.250)
Si (0.000, 0.000, 0.500)
Ir (0.250, 0.250, 0.750)

---

(15)
A plane-wave DFT calculation with PBE-GGA was carried out for a relaxed structure of Ba3MoH.

Final energy = -3.43 eV per atom
Fermi-level density of states = 0.876 states/eV per atom
M_tot = 0.556 μB per atom
Energy above the most stable polymorph in this dataset = 0.0000 eV/atom

Cell lengths 5.547, 5.547, 5.547 Å; angles 90.00, 90.00, 90.00 degrees
Space group Pm-3m (No. 221)
Inequivalent atoms, fractional coordinates:
Ba (0.000, 0.000, 0.500)
Mo (0.500, 0.500, 0.500)
H (0.000, 0.000, 0.000)

---

(16)
A plane-wave DFT calculation with PBE-GGA was carried out for a relaxed structure of Ca3Cd3In8.

Final energy = -2.45 eV per atom
Formation energy = -354 kJ/mol of formula units
Fermi-level density of states = 0.282 states/eV per atom
M_tot = 0.000 μB per atom

Cell lengths 4.855, 10.975, 13.916 Å; angles 90.00, 90.00, 90.00 degrees
Space group Immm (No. 71)
Inequivalent atoms, fractional coordinates:
Ca (0.000, 0.000, 0.000)
Ca (0.000, 0.000, 0.292)
Cd (0.000, 0.161, 0.500)
Cd (0.000, 0.500, 0.000)
In (0.000, 0.289, 0.147)
In (0.000, 0.368, 0.356)

---

(17)
A plane-wave DFT calculation with PBE-GGA was carried out for a relaxed structure of NaSiAs.

Final energy = -3.99 eV per atom
Fermi-level density of states = 0.003 states/eV per atom
Uncorrected formation energy = -0.191 eV per atom
M_tot = 0.000 μB per atom

Cell lengths 3.6916, 3.6916, 17.7988 Å; angles 90.00, 90.00, 120.00 degrees
Space group R3m (No. 160, hexagonal axes)
Inequivalent atoms, fractional coordinates:
Na (0.0000, 0.0000, 0.0000)
Si (0.0000, 0.0000, 0.5351)
As (0.0000, 0.0000, 0.8010)

---

(18)
A plane-wave DFT calculation with PBE-GGA was carried out for a relaxed structure of LiOs2Se.

Final energy = -6.44 eV per atom
Fermi-level density of states = 1.048 states/eV per atom
Uncorrected formation energy = 0.528 eV per atom
M_tot = 0.000 μB per atom

Cell lengths 2.773, 4.482, 4.934 Å; angles 90.00, 90.00, 90.00 degrees
Space group Pmmm (No. 47)
Inequivalent atoms, fractional coordinates:
Li (0.000, 0.000, 0.000)
Os (0.000, 0.500, 0.500)
Os (0.500, 0.000, 0.500)
Se (0.500, 0.500, 0.000)

---

(19)
A plane-wave DFT calculation with PBE-GGA was carried out for a relaxed structure of NaLaSe2Br.

Final energy = -3.83 eV per atom
Fermi-level density of states = 0.743 states/eV per atom
Uncorrected formation energy = -0.848 eV per atom
M_tot = 0.103 μB per atom
Energy above the most stable polymorph in this dataset = 0.3311 eV/atom

Cell lengths 5.164, 5.164, 5.107 Å; angles 90.00, 90.00, 90.00 degrees
Space group P4/mmm (No. 123)
Inequivalent atoms, fractional coordinates:
Na (0.000, 0.000, 0.000)
La (0.500, 0.500, 0.500)
Se (0.000, 0.500, 0.000)
Br (0.000, 0.000, 0.500)

---

(20)
A plane-wave DFT calculation with PBE-GGA was carried out for a relaxed structure of CrSn2HgIr.

Final energy = -4.73 eV per atom
Formation energy = 303 kJ/mol of formula units
Fermi-level density of states = 0.653 states/eV per atom
M_tot = 0.000 μB per atom

Cell lengths 5.093, 5.093, 4.519 Å; angles 90.00, 90.00, 90.00 degrees
Space group P4/mmm (No. 123)
Inequivalent atoms, fractional coordinates:
Cr (0.000, 0.000, 0.000)
Sn (0.000, 0.500, 0.000)
Hg (0.500, 0.500, 0.500)
Ir (0.000, 0.000, 0.500)